(1)
NbInCuOs | PBE | relaxed

The space group is F-43m (No. 216) and the conventional cell measures 6.403, 6.403 and 6.403 Å, with angles of 90.00, 90.00 and 90.00 degrees. The asymmetric unit holds Nb at (0.000, 0.000, 0.000), In at (0.000, 0.000, 0.500), Cu at (0.250, 0.250, 0.750) and Os at (0.250, 0.250, 0.250).

=====

(2)
NbIn2CuPb | PBE | relaxed

The space group is P4/mmm (No. 123) and the conventional cell measures 5.411, 5.411 and 4.896 Å, with angles of 90.00, 90.00 and 90.00 degrees. The asymmetric unit holds Nb at (0.000, 0.000, 0.000), In at (0.000, 0.500, 0.000), Cu at (0.000, 0.000, 0.500) and Pb at (0.500, 0.500, 0.500).

=====

It is found that the formation energy values, taken in the order of the records, are 0.3, 3.7 eV per formula unit.
It is found that the volume values, taken in the order of the records, are 262.5, 143.3 Å³ per cell.
It is found that the density of states at the Fermi level values, taken in the order of the records, are 3.88, 3.73 states/eV/f.u..